Record 1
{
  "formula": "K2ScCuF6",
  "functional": "PBEsol",
  "state": "optimized geometry",
  "formation_energy_uncorrected_mev_per_atom": -2889,
  "lattice": [[0.0000, 4.1768, 4.1768], [4.1768, 0.0000, 4.1768], [4.1768, 4.1768, 0.0000]],
  "species": ["K", "K", "Sc", "Cu", "F", "F", "F", "F", "F", "F"],
  "fractional_positions": [[0.2500, 0.2500, 0.2500], [0.7500, 0.7500, 0.7500], [0.0000, 0.0000, 0.0000], [0.5000, 0.5000, 0.5000], [0.2403, 0.2403, 0.7597], [0.2403, 0.7597, 0.2403], [0.2403, 0.7597, 0.7597], [0.7597, 0.2403, 0.2403], [0.7597, 0.2403, 0.7597], [0.7597, 0.7597, 0.2403]]
}

---

Record 2
{
  "formula": "K2TlCuF6",
  "functional": "PBEsol",
  "state": "optimized geometry",
  "formation_energy_uncorrected_mev_per_atom": -2120,
  "dos_ef_per_ev_fu": 3.3,
  "lattice": [[0.0000, 4.2930, 4.2930], [4.2930, 0.0000, 4.2930], [4.2930, 4.2930, 0.0000]],
  "species": ["K", "K", "Tl", "Cu", "F", "F", "F", "F", "F", "F"],
  "fractional_positions": [[0.2500, 0.2500, 0.2500], [0.7500, 0.7500, 0.7500], [0.0000, 0.0000, 0.0000], [0.5000, 0.5000, 0.5000], [0.2670, 0.2670, 0.7330], [0.2670, 0.7330, 0.2670], [0.2670, 0.7330, 0.7330], [0.7330, 0.2670, 0.2670], [0.7330, 0.2670, 0.7330], [0.7330, 0.7330, 0.2670]]
}

---

Record 3
{
  "formula": "LaCuF2",
  "functional": "PBEsol",
  "state": "optimized geometry",
  "formation_energy_uncorrected_mev_per_atom": -1530,
  "dos_ef_per_ev_fu": 1.3,
  "lattice": [[1.8870, 1.0895, 5.8862], [-1.8870, 1.0895, 5.8862], [0.0000, -2.1789, 5.8862]],
  "species": ["La", "Cu", "F", "F"],
  "fractional_positions": [[0.0000, 0.0000, 0.0000], [0.5000, 0.5000, 0.5000], [0.1269, 0.1269, 0.1269], [0.8731, 0.8731, 0.8731]]
}

---

Record 4
{
  "formula": "La2CuF",
  "functional": "PBEsol",
  "state": "optimized geometry",
  "formation_energy_uncorrected_mev_per_atom": -916,
  "dos_ef_per_ev_fu": 5.1,
  "lattice": [[0.0000, 3.4613, 3.4613], [3.4613, 0.0000, 3.4613], [3.4613, 3.4613, 0.0000]],
  "species": ["La", "La", "Cu", "F"],
  "fractional_positions": [[0.2500, 0.2500, 0.2500], [0.7500, 0.7500, 0.7500], [0.0000, 0.0000, 0.0000], [0.5000, 0.5000, 0.5000]]
}

---

Which formula does entry 4 have? La2CuF

---

Please write out number 1 again, unchanged.
{
  "formula": "K2ScCuF6",
  "functional": "PBEsol",
  "state": "optimized geometry",
  "formation_energy_uncorrected_mev_per_atom": -2889,
  "lattice": [[0.0000, 4.1768, 4.1768], [4.1768, 0.0000, 4.1768], [4.1768, 4.1768, 0.0000]],
  "species": ["K", "K", "Sc", "Cu", "F", "F", "F", "F", "F", "F"],
  "fractional_positions": [[0.2500, 0.2500, 0.2500], [0.7500, 0.7500, 0.7500], [0.0000, 0.0000, 0.0000], [0.5000, 0.5000, 0.5000], [0.2403, 0.2403, 0.7597], [0.2403, 0.7597, 0.2403], [0.2403, 0.7597, 0.7597], [0.7597, 0.2403, 0.2403], [0.7597, 0.2403, 0.7597], [0.7597, 0.7597, 0.2403]]
}